No. 1
# SmEuPt4, optimized geometry, DFT GGA-PBE
data_SmEuPt4
_cell_length_a 5.498
_cell_length_b 5.498
_cell_length_c 5.498
_cell_angle_alpha 60.00
_cell_angle_beta 60.00
_cell_angle_gamma 60.00
_symmetry_space_group_name_H-M 'P 1'
_symmetry_Int_Tables_number 1
loop_
_symmetry_equiv_pos_as_xyz
'x,y,z'
loop_
_atom_site_label
_atom_site_fract_x
_atom_site_fract_y
_atom_site_fract_z
Eu1 0.000 0.000 0.000
Sm1 0.250 0.250 0.250
Pt1 0.625 0.625 0.125
Pt2 0.625 0.125 0.625
Pt3 0.625 0.625 0.625
Pt4 0.125 0.625 0.625
# Symmetry ... No. 216
# Density ... 15.3 g/cm³
# VASP energy ... -45.346 eV per cell
# N(E_F) ... 13.328 states/eV per cell
# Energy of formation from the pure elements ... -1.03 eV/atom
# M_tot ... 1.138 μB/atom

No. 2
# Sm3EuPt, optimized geometry, DFT GGA-PBE
data_Sm3EuPt
_cell_length_a 5.655
_cell_length_b 5.655
_cell_length_c 5.655
_cell_angle_alpha 90.00
_cell_angle_beta 90.00
_cell_angle_gamma 90.00
_symmetry_space_group_name_H-M 'P 1'
_symmetry_Int_Tables_number 1
loop_
_symmetry_equiv_pos_as_xyz
'x,y,z'
loop_
_atom_site_label
_atom_site_fract_x
_atom_site_fract_y
_atom_site_fract_z
Eu1 0.500 0.500 0.500
Sm1 0.000 0.500 0.000
Sm2 0.000 0.000 0.500
Sm3 0.500 0.000 0.000
Pt1 0.000 0.000 0.000
# Symmetry ... No. 221
# Density ... 7.3 g/cm³
# VASP energy ... -32.202 eV per cell
# N(E_F) ... 8.920 states/eV per cell
# Energy of formation from the pure elements ... -0.35 eV/atom
# M_tot ... 1.566 μB/atom

No. 3
# SmEuPt2, optimized geometry, DFT GGA-PBE
data_SmEuPt2
_cell_length_a 4.174
_cell_length_b 4.174
_cell_length_c 7.277
_cell_angle_alpha 73.33
_cell_angle_beta 73.33
_cell_angle_gamma 60.00
_symmetry_space_group_name_H-M 'P 1'
_symmetry_Int_Tables_number 1
loop_
_symmetry_equiv_pos_as_xyz
'x,y,z'
loop_
_atom_site_label
_atom_site_fract_x
_atom_site_fract_y
_atom_site_fract_z
Eu1 0.500 0.500 0.500
Sm1 0.000 0.000 0.000
Pt1 0.254 0.254 0.239
Pt2 0.746 0.746 0.761
# Symmetry ... No. 166
# Density ... 11.1 g/cm³
# VASP energy ... -30.851 eV per cell
# N(E_F) ... 12.957 states/eV per cell
# Energy of formation from the pure elements ... -0.94 eV/atom
# M_tot ... 1.729 μB/atom

No. 4
# SmEuPt2, optimized geometry, DFT GGA-PBE
data_SmEuPt2
_cell_length_a 3.575
_cell_length_b 3.575
_cell_length_c 7.208
_cell_angle_alpha 90.00
_cell_angle_beta 90.00
_cell_angle_gamma 90.00
_symmetry_space_group_name_H-M 'P 1'
_symmetry_Int_Tables_number 1
loop_
_symmetry_equiv_pos_as_xyz
'x,y,z'
loop_
_atom_site_label
_atom_site_fract_x
_atom_site_fract_y
_atom_site_fract_z
Eu1 0.500 0.500 0.500
Sm1 0.500 0.500 0.000
Pt1 0.000 0.000 0.769
Pt2 0.000 0.000 0.231
# Symmetry ... No. 123
# Density ... 12.5 g/cm³
# VASP energy ... -31.224 eV per cell
# N(E_F) ... 11.099 states/eV per cell
# Energy of formation from the pure elements ... -1.04 eV/atom
# M_tot ... 1.764 μB/atom

No. 5
# SmEuPt, optimized geometry, DFT GGA-PBE
data_SmEuPt
_cell_length_a 4.212
_cell_length_b 4.212
_cell_length_c 6.561
_cell_angle_alpha 90.00
_cell_angle_beta 90.00
_cell_angle_gamma 120.00
_symmetry_space_group_name_H-M 'P 1'
_symmetry_Int_Tables_number 1
loop_
_symmetry_equiv_pos_as_xyz
'x,y,z'
loop_
_atom_site_label
_atom_site_fract_x
_atom_site_fract_y
_atom_site_fract_z
Eu1 0.000 0.000 0.087
Sm1 0.333 0.667 0.565
Pt1 0.667 0.333 0.347
# Symmetry ... No. 156
# Density ... 8.2 g/cm³
# VASP energy ... -23.158 eV per cell
# N(E_F) ... 11.197 states/eV per cell
# Energy of formation from the pure elements ... -0.71 eV/atom
# M_tot ... 2.423 μB/atom

No. 6
# SmEuPt2, optimized geometry, DFT GGA-PBE
data_SmEuPt2
_cell_length_a 5.051
_cell_length_b 5.051
_cell_length_c 5.051
_cell_angle_alpha 60.00
_cell_angle_beta 60.00
_cell_angle_gamma 60.00
_symmetry_space_group_name_H-M 'P 1'
_symmetry_Int_Tables_number 1
loop_
_symmetry_equiv_pos_as_xyz
'x,y,z'
loop_
_atom_site_label
_atom_site_fract_x
_atom_site_fract_y
_atom_site_fract_z
Eu1 0.000 0.000 0.000
Sm1 0.500 0.500 0.500
Pt1 0.250 0.250 0.250
Pt2 0.750 0.750 0.750
# Symmetry ... No. 225
# Density ... 12.6 g/cm³
# VASP energy ... -31.137 eV per cell
# N(E_F) ... 9.270 states/eV per cell
# Energy of formation from the pure elements ... -1.02 eV/atom
# M_tot ... 1.763 μB/atom

No. 7
# SmEuPt, optimized geometry, DFT GGA-PBE
data_SmEuPt
_cell_length_a 4.996
_cell_length_b 4.996
_cell_length_c 4.996
_cell_angle_alpha 60.00
_cell_angle_beta 60.00
_cell_angle_gamma 60.00
_symmetry_space_group_name_H-M 'P 1'
_symmetry_Int_Tables_number 1
loop_
_symmetry_equiv_pos_as_xyz
'x,y,z'
loop_
_atom_site_label
_atom_site_fract_x
_atom_site_fract_y
_atom_site_fract_z
Eu1 0.000 0.000 0.000
Sm1 0.500 0.500 0.500
Pt1 0.250 0.250 0.250
# Symmetry ... No. 216
# Density ... 9.4 g/cm³
# VASP energy ... -23.227 eV per cell
# N(E_F) ... 2.729 states/eV per cell
# Energy of formation from the pure elements ... -0.73 eV/atom
# M_tot ... 2.445 μB/atom

No. 8
# SmEuSnPt, optimized geometry, DFT GGA-PBE
data_SmEuSnPt
_cell_length_a 5.278
_cell_length_b 5.278
_cell_length_c 5.278
_cell_angle_alpha 60.00
_cell_angle_beta 60.00
_cell_angle_gamma 60.00
_symmetry_space_group_name_H-M 'P 1'
_symmetry_Int_Tables_number 1
loop_
_symmetry_equiv_pos_as_xyz
'x,y,z'
loop_
_atom_site_label
_atom_site_fract_x
_atom_site_fract_y
_atom_site_fract_z
Eu1 0.000 0.000 0.000
Sm1 0.500 0.500 0.500
Pt1 0.250 0.250 0.250
Sn1 0.750 0.750 0.750
# Symmetry ... No. 216
# Density ... 9.8 g/cm³
# VASP energy ... -27.989 eV per cell
# N(E_F) ... 12.299 states/eV per cell
# Energy of formation from the pure elements ... -0.74 eV/atom
# M_tot ... 1.714 μB/atom

No. 9
# SmEuTlPt, optimized geometry, DFT GGA-PBE
data_SmEuTlPt
_cell_length_a 5.283
_cell_length_b 5.283
_cell_length_c 5.283
_cell_angle_alpha 60.00
_cell_angle_beta 60.00
_cell_angle_gamma 60.00
_symmetry_space_group_name_H-M 'P 1'
_symmetry_Int_Tables_number 1
loop_
_symmetry_equiv_pos_as_xyz
'x,y,z'
loop_
_atom_site_label
_atom_site_fract_x
_atom_site_fract_y
_atom_site_fract_z
Eu1 0.000 0.000 0.000
Tl1 0.750 0.750 0.750
Sm1 0.500 0.500 0.500
Pt1 0.250 0.250 0.250
# Symmetry ... No. 216
# Density ... 11.2 g/cm³
# VASP energy ... -25.783 eV per cell
# N(E_F) ... 7.659 states/eV per cell
# Energy of formation from the pure elements ... -0.60 eV/atom
# M_tot ... 1.764 μB/atom

No. 10
# SmEuZnPt, optimized geometry, DFT GGA-PBE
data_SmEuZnPt
_cell_length_a 5.114
_cell_length_b 5.114
_cell_length_c 5.114
_cell_angle_alpha 60.00
_cell_angle_beta 60.00
_cell_angle_gamma 60.00
_symmetry_space_group_name_H-M 'P 1'
_symmetry_Int_Tables_number 1
loop_
_symmetry_equiv_pos_as_xyz
'x,y,z'
loop_
_atom_site_label
_atom_site_fract_x
_atom_site_fract_y
_atom_site_fract_z
Eu1 0.500 0.500 0.500
Zn1 0.750 0.750 0.750
Sm1 0.000 0.000 0.000
Pt1 0.250 0.250 0.250
# Symmetry ... No. 216
# Density ... 9.9 g/cm³
# VASP energy ... -24.913 eV per cell
# N(E_F) ... 7.458 states/eV per cell
# Energy of formation from the pure elements ... -0.65 eV/atom
# M_tot ... 1.728 μB/atom

No. 11
# EuSnPt2, optimized geometry, DFT GGA-PBE
data_EuSnPt2
_cell_length_a 4.603
_cell_length_b 4.603
_cell_length_c 5.644
_cell_angle_alpha 65.93
_cell_angle_beta 65.93
_cell_angle_gamma 60.00
_symmetry_space_group_name_H-M 'P 1'
_symmetry_Int_Tables_number 1
loop_
_symmetry_equiv_pos_as_xyz
'x,y,z'
loop_
_atom_site_label
_atom_site_fract_x
_atom_site_fract_y
_atom_site_fract_z
Eu1 0.500 0.500 0.500
Sn1 0.000 0.000 0.000
Pt1 0.293 0.293 0.122
Pt2 0.707 0.707 0.878
# Symmetry ... No. 166
# Density ... 12.0 g/cm³
# VASP energy ... -29.436 eV per cell
# N(E_F) ... 12.160 states/eV per cell
# Energy of formation from the pure elements ... -0.77 eV/atom
# M_tot ... 1.728 μB/atom

No. 12
# Eu3SnPt, optimized geometry, DFT GGA-PBE
data_Eu3SnPt
_cell_length_a 5.613
_cell_length_b 5.613
_cell_length_c 5.613
_cell_angle_alpha 90.00
_cell_angle_beta 90.00
_cell_angle_gamma 90.00
_symmetry_space_group_name_H-M 'P 1'
_symmetry_Int_Tables_number 1
loop_
_symmetry_equiv_pos_as_xyz
'x,y,z'
loop_
_atom_site_label
_atom_site_fract_x
_atom_site_fract_y
_atom_site_fract_z
Eu1 0.000 0.500 0.000
Eu2 0.000 0.000 0.500
Eu3 0.500 0.000 0.000
Sn1 0.500 0.500 0.500
Pt1 0.000 0.000 0.000
# Symmetry ... No. 221
# Density ... 7.2 g/cm³
# VASP energy ... -43.666 eV per cell
# N(E_F) ... 23.326 states/eV per cell
# Energy of formation from the pure elements ... -0.56 eV/atom
# M_tot ... 4.180 μB/atom

No. 13
# TbEuSnPt, optimized geometry, DFT GGA-PBE
data_TbEuSnPt
_cell_length_a 5.232
_cell_length_b 5.232
_cell_length_c 5.232
_cell_angle_alpha 60.00
_cell_angle_beta 60.00
_cell_angle_gamma 60.00
_symmetry_space_group_name_H-M 'P 1'
_symmetry_Int_Tables_number 1
loop_
_symmetry_equiv_pos_as_xyz
'x,y,z'
loop_
_atom_site_label
_atom_site_fract_x
_atom_site_fract_y
_atom_site_fract_z
Eu1 0.000 0.000 0.000
Tb1 0.500 0.500 0.500
Sn1 0.250 0.250 0.250
Pt1 0.750 0.750 0.750
# Symmetry ... No. 216
# Density ... 10.2 g/cm³
# VASP energy ... -27.949 eV per cell
# N(E_F) ... 11.972 states/eV per cell
# Energy of formation from the pure elements ... -0.75 eV/atom
# M_tot ... 1.709 μB/atom

No. 14
# SrEuPt2, optimized geometry, DFT GGA-PBE
data_SrEuPt2
_cell_length_a 3.640
_cell_length_b 3.640
_cell_length_c 7.304
_cell_angle_alpha 90.00
_cell_angle_beta 90.00
_cell_angle_gamma 90.00
_symmetry_space_group_name_H-M 'P 1'
_symmetry_Int_Tables_number 1
loop_
_symmetry_equiv_pos_as_xyz
'x,y,z'
loop_
_atom_site_label
_atom_site_fract_x
_atom_site_fract_y
_atom_site_fract_z
Eu1 0.500 0.500 0.000
Sr1 0.500 0.500 0.500
Pt1 0.000 0.000 0.769
Pt2 0.000 0.000 0.231
# Symmetry ... No. 123
# Density ... 10.8 g/cm³
# VASP energy ... -27.319 eV per cell
# N(E_F) ... 14.224 states/eV per cell
# Energy of formation from the pure elements ... -0.82 eV/atom
# M_tot ... 1.698 μB/atom

No. 15
# SrEu2Pt, optimized geometry, DFT GGA-PBE
data_SrEu2Pt
_cell_length_a 3.751
_cell_length_b 3.751
_cell_length_c 9.894
_cell_angle_alpha 90.00
_cell_angle_beta 90.00
_cell_angle_gamma 90.00
_symmetry_space_group_name_H-M 'P 1'
_symmetry_Int_Tables_number 1
loop_
_symmetry_equiv_pos_as_xyz
'x,y,z'
loop_
_atom_site_label
_atom_site_fract_x
_atom_site_fract_y
_atom_site_fract_z
Eu1 0.000 0.000 0.832
Eu2 0.000 0.000 0.168
Sr1 0.500 0.500 0.500
Pt1 0.500 0.500 0.000
# Symmetry ... No. 123
# Density ... 7.0 g/cm³
# VASP energy ... -30.170 eV per cell
# N(E_F) ... 19.517 states/eV per cell
# Energy of formation from the pure elements ... -0.47 eV/atom
# M_tot ... 3.623 μB/atom

No. 16
# SrEu2Pt, optimized geometry, DFT GGA-PBE
data_SrEu2Pt
_cell_length_a 4.167
_cell_length_b 4.167
_cell_length_c 11.400
_cell_angle_alpha 79.47
_cell_angle_beta 79.47
_cell_angle_gamma 60.00
_symmetry_space_group_name_H-M 'P 1'
_symmetry_Int_Tables_number 1
loop_
_symmetry_equiv_pos_as_xyz
'x,y,z'
loop_
_atom_site_label
_atom_site_fract_x
_atom_site_fract_y
_atom_site_fract_z
Eu1 0.117 0.117 0.648
Eu2 0.883 0.883 0.352
Sr1 0.000 0.000 0.000
Pt1 0.500 0.500 0.500
# Symmetry ... No. 166
# Density ... 5.8 g/cm³
# VASP energy ... -29.913 eV per cell
# N(E_F) ... 21.276 states/eV per cell
# Energy of formation from the pure elements ... -0.41 eV/atom
# M_tot ... 3.582 μB/atom

No. 17
# Sr4Eu2Pt, optimized geometry, DFT GGA-PBE
data_Sr4Eu2Pt
_cell_length_a 5.895
_cell_length_b 5.895
_cell_length_c 11.026
_cell_angle_alpha 105.51
_cell_angle_beta 105.51
_cell_angle_gamma 90.00
_symmetry_space_group_name_H-M 'P 1'
_symmetry_Int_Tables_number 1
loop_
_symmetry_equiv_pos_as_xyz
'x,y,z'
loop_
_atom_site_label
_atom_site_fract_x
_atom_site_fract_y
_atom_site_fract_z
Eu1 0.660 0.660 0.320
Eu2 0.340 0.340 0.680
Sr1 0.855 0.855 0.710
Sr2 0.145 0.145 0.290
Sr3 0.000 0.500 0.000
Sr4 0.500 0.000 0.000
Pt1 0.000 0.000 0.000
# Symmetry ... No. 139
# Density ... 4.0 g/cm³
# VASP energy ... -34.281 eV per cell
# N(E_F) ... 30.109 states/eV per cell
# Energy of formation from the pure elements ... -0.14 eV/atom
# M_tot ... 2.172 μB/atom

No. 18
# SrEuPt2, optimized geometry, DFT GGA-PBE
data_SrEuPt2
_cell_length_a 5.145
_cell_length_b 5.145
_cell_length_c 5.145
_cell_angle_alpha 60.00
_cell_angle_beta 60.00
_cell_angle_gamma 60.00
_symmetry_space_group_name_H-M 'P 1'
_symmetry_Int_Tables_number 1
loop_
_symmetry_equiv_pos_as_xyz
'x,y,z'
loop_
_atom_site_label
_atom_site_fract_x
_atom_site_fract_y
_atom_site_fract_z
Eu1 0.500 0.500 0.500
Sr1 0.000 0.000 0.000
Pt1 0.250 0.250 0.250
Pt2 0.750 0.750 0.750
# Symmetry ... No. 225
# Density ... 10.9 g/cm³
# VASP energy ... -27.258 eV per cell
# N(E_F) ... 14.455 states/eV per cell
# Energy of formation from the pure elements ... -0.80 eV/atom
# M_tot ... 1.707 μB/atom

No. 19
# SrEuPt, optimized geometry, DFT GGA-PBE
data_SrEuPt
_cell_length_a 5.149
_cell_length_b 5.149
_cell_length_c 5.149
_cell_angle_alpha 60.00
_cell_angle_beta 60.00
_cell_angle_gamma 60.00
_symmetry_space_group_name_H-M 'P 1'
_symmetry_Int_Tables_number 1
loop_
_symmetry_equiv_pos_as_xyz
'x,y,z'
loop_
_atom_site_label
_atom_site_fract_x
_atom_site_fract_y
_atom_site_fract_z
Eu1 0.500 0.500 0.500
Sr1 0.000 0.000 0.000
Pt1 0.250 0.250 0.250
# Symmetry ... No. 216
# Density ... 7.5 g/cm³
# VASP energy ... -20.079 eV per cell
# N(E_F) ... 13.919 states/eV per cell
# Energy of formation from the pure elements ... -0.69 eV/atom
# M_tot ... 2.349 μB/atom

No. 20
# SrEuPt, optimized geometry, DFT GGA-PBE
data_SrEuPt
_cell_length_a 6.841
_cell_length_b 4.331
_cell_length_c 4.331
_cell_angle_alpha 120.00
_cell_angle_beta 90.00
_cell_angle_gamma 90.00
_symmetry_space_group_name_H-M 'P 1'
_symmetry_Int_Tables_number 1
loop_
_symmetry_equiv_pos_as_xyz
'x,y,z'
loop_
_atom_site_label
_atom_site_fract_x
_atom_site_fract_y
_atom_site_fract_z
Eu1 0.230 0.333 0.667
Sr1 0.760 0.667 0.333
Pt1 0.009 0.000 0.000
# Symmetry ... No. 156
# Density ... 6.5 g/cm³
# VASP energy ... -19.962 eV per cell
# N(E_F) ... 13.381 states/eV per cell
# Energy of formation from the pure elements ... -0.66 eV/atom
# M_tot ... 2.355 μB/atom